1.
DFT (PBE-GGA) results for an optimized crystal structure of Rb2CdInF6.

abc: 6.421 6.421 9.101
angles: 90.00 90.00 90.00
Space group I4/mmm (No. 139)
Symmetry-distinct sites (fractional):
Rb  0.000  0.500  0.250 (multiplicity 4)
Cd  0.000  0.000  0.000 (multiplicity 2)
In  0.000  0.000  0.500 (multiplicity 2)
F  0.000  0.000  0.254 (multiplicity 4)
F  0.247  0.247  0.500 (multiplicity 8)

Summary:
The value obtained for the total magnetization is 0.000 μB/atom. The calculation puts the uncorrected energy at -4.103 eV per atom. The calculation puts the volume at 375 Å³/cell. Its formation energy from raw total energies is -24.22 eV per formula unit.



2.
DFT (PBE-GGA) results for an optimized crystal structure of Mg12H5Pt3.

abc: 13.791 13.791 13.791
angles: 90.00 90.00 90.00
Space group Ia-3d (No. 230)
Symmetry-distinct sites (fractional):
Mg  0.032  0.059  0.654 (multiplicity 96)
H  0.000  0.000  0.000 (multiplicity 16)
H  0.000  0.250  0.375 (multiplicity 24)
Pt  0.000  0.250  0.125 (multiplicity 24)

Summary:
The value obtained for the total magnetization is 0.000 μB/atom. The calculation puts the uncorrected energy at -2.993 eV per atom. The calculation puts the volume at 2623 Å³/cell.



3.
DFT (PBE-GGA) results for an optimized crystal structure of Ti2Te2Ru.

abc: 3.813 3.813 14.935
angles: 90.00 90.00 90.00
Space group I4/mmm (No. 139)
Symmetry-distinct sites (fractional):
Ti  0.000  0.500  0.250 (multiplicity 4)
Te  0.000  0.000  0.110 (multiplicity 4)
Ru  0.000  0.000  0.500 (multiplicity 2)

Summary:
The value obtained for the total magnetization is 0.813 μB/atom. The calculation puts the uncorrected energy at -5.867 eV per atom. The value obtained for the offset from the most stable computed form is 511 meV per atom. The calculation puts the volume at 217 Å³/cell. Its formation energy from raw total energies is 2.01 eV per formula unit.



4.
DFT (PBE-GGA) results for an optimized crystal structure of LiTa2Pt9.

abc: 3.982 3.982 11.778
angles: 90.00 90.00 90.00
Space group P4/mmm (No. 123)
Symmetry-distinct sites (fractional):
Li  0.000  0.000  0.000 (multiplicity 1)
Ta  0.000  0.000  0.322 (multiplicity 2)
Pt  0.000  0.500  0.166 (multiplicity 4)
Pt  0.000  0.500  0.500 (multiplicity 2)
Pt  0.500  0.500  0.000 (multiplicity 1)
Pt  0.500  0.500  0.334 (multiplicity 2)

Summary:
As for the formation energy: -0.664 eV per atom. The value obtained for the total magnetization is 0.000 μB/atom. The calculation puts the uncorrected energy at -7.329 eV per atom. The calculation puts the volume at 187 Å³/cell.



What did the third record say?
DFT (PBE-GGA) results for an optimized crystal structure of Ti2Te2Ru.

abc: 3.813 3.813 14.935
angles: 90.00 90.00 90.00
Space group I4/mmm (No. 139)
Symmetry-distinct sites (fractional):
Ti  0.000  0.500  0.250 (multiplicity 4)
Te  0.000  0.000  0.110 (multiplicity 4)
Ru  0.000  0.000  0.500 (multiplicity 2)

Summary:
The value obtained for the total magnetization is 0.813 μB/atom. The calculation puts the uncorrected energy at -5.867 eV per atom. The value obtained for the offset from the most stable computed form is 511 meV per atom. The calculation puts the volume at 217 Å³/cell. Its formation energy from raw total energies is 2.01 eV per formula unit.



What is the uncorrected energy in the fourth record? -7.329 eV per atom



Copy entry 3 word for word.
DFT (PBE-GGA) results for an optimized crystal structure of Ti2Te2Ru.

abc: 3.813 3.813 14.935
angles: 90.00 90.00 90.00
Space group I4/mmm (No. 139)
Symmetry-distinct sites (fractional):
Ti  0.000  0.500  0.250 (multiplicity 4)
Te  0.000  0.000  0.110 (multiplicity 4)
Ru  0.000  0.000  0.500 (multiplicity 2)

Summary:
The value obtained for the total magnetization is 0.813 μB/atom. The calculation puts the uncorrected energy at -5.867 eV per atom. The value obtained for the offset from the most stable computed form is 511 meV per atom. The calculation puts the volume at 217 Å³/cell. Its formation energy from raw total energies is 2.01 eV per formula unit.